[1]
Density functional theory data (PBE) for crystalline RbTcRu2 at its relaxed geometry.

## Properties
Energy in Ry/atom: -0.44557
Crystal system: tetragonal
Offset from the most stable computed form in meV per atom: 0
Magnetic moment in μB per cell: 0.00
ΔE_f in meV/atom: 1409
N(E_F) in states/eV/cell: 10.0

Lattice parameters (Å, degrees): 7.385 7.385 6.586 90.00 90.00 90.00
Fractional positions:
Rb 0.000 0.000 0.000
Rb 0.000 0.500 0.250
Rb 0.500 0.000 0.750
Rb 0.500 0.500 0.500
Tc 0.000 0.000 0.500
Tc 0.000 0.500 0.750
Tc 0.500 0.000 0.250
Tc 0.500 0.500 0.000
Ru 0.170 0.250 0.625
Ru 0.250 0.670 0.875
Ru 0.250 0.830 0.375
Ru 0.330 0.250 0.125
Ru 0.670 0.750 0.125
Ru 0.750 0.170 0.375
Ru 0.750 0.330 0.875
Ru 0.830 0.750 0.625

---

[2]
Density functional theory data (PBE) for crystalline RbTeRu2 at its relaxed geometry.

## Properties
Energy in Ry/atom: -0.34040
Crystal system: tetragonal
Magnetic moment in μB per cell: 0.00
ΔE_f (raw) in kJ/mol of formula units: 399
N(E_F) in states/eV/cell: 12.0

Lattice parameters (Å, degrees): 7.879 7.879 6.708 90.00 90.00 90.00
Fractional positions:
Rb 0.000 0.000 0.000
Rb 0.000 0.500 0.250
Rb 0.500 0.000 0.750
Rb 0.500 0.500 0.500
Te 0.000 0.000 0.500
Te 0.000 0.500 0.750
Te 0.500 0.000 0.250
Te 0.500 0.500 0.000
Ru 0.164 0.250 0.625
Ru 0.250 0.664 0.875
Ru 0.250 0.836 0.375
Ru 0.336 0.250 0.125
Ru 0.664 0.750 0.125
Ru 0.750 0.164 0.375
Ru 0.750 0.336 0.875
Ru 0.836 0.750 0.625

---

[3]
Density functional theory data (PBE) for crystalline Rb2TeRu at its relaxed geometry.

## Properties
Energy in Ry/atom: -0.20794
Crystal system: tetragonal
Magnetic moment in μB per cell: 6.51
ΔE_f (raw) in kJ/mol of formula units: 293
N(E_F) in states/eV/cell: 20.8

Lattice parameters (Å, degrees): 4.513 4.513 24.150 90.00 90.00 90.00
Fractional positions:
Rb 0.245 0.250 0.125
Rb 0.250 0.745 0.375
Rb 0.250 0.755 0.875
Rb 0.255 0.250 0.625
Rb 0.745 0.750 0.625
Rb 0.750 0.245 0.875
Rb 0.750 0.255 0.375
Rb 0.755 0.750 0.125
Te 0.000 0.000 0.500
Te 0.000 0.500 0.750
Te 0.500 0.000 0.250
Te 0.500 0.500 0.000
Ru 0.000 0.000 0.000
Ru 0.000 0.500 0.250
Ru 0.500 0.000 0.750
Ru 0.500 0.500 0.500

---

[4]
Density functional theory data (PBE) for crystalline Rb2YTeRu at its relaxed geometry.

## Properties
Energy in Ry/atom: -0.25529
Crystal system: tetragonal
Magnetic moment in μB per cell: 0.00
ΔE_f (raw) in kJ/mol of formula units: 333
N(E_F) in states/eV/cell: 7.3

Lattice parameters (Å, degrees): 7.118 7.118 4.695 90.00 90.00 90.00
Fractional positions:
Rb 0.000 0.500 0.000
Rb 0.500 0.000 0.000
Y 0.000 0.000 0.000
Te 0.500 0.500 0.500
Ru 0.000 0.000 0.500

---

[5]
Density functional theory data (PBE) for crystalline RbYTeRu2 at its relaxed geometry.

## Properties
Energy in Ry/atom: -0.32995
Crystal system: tetragonal
Magnetic moment in μB per cell: 2.52
ΔE_f (raw) in kJ/mol of formula units: 644
N(E_F) in states/eV/cell: 5.3

Lattice parameters (Å, degrees): 5.003 5.003 6.083 90.00 90.00 90.00
Fractional positions:
Rb 0.000 0.000 0.000
Y 0.000 0.000 0.500
Te 0.500 0.500 0.000
Ru 0.000 0.500 0.500
Ru 0.500 0.000 0.500

---

[6]
Density functional theory data (PBE) for crystalline RbTiRu2 at its relaxed geometry.

## Properties
Energy in Ry/atom: -0.41885
Crystal system: cubic
Offset from the most stable computed form in meV per atom: 51
Magnetic moment in μB per cell: 0.00
ΔE_f in meV/atom: 1155
N(E_F) in states/eV/cell: 13.6

Lattice parameters (Å, degrees): 6.583 6.583 6.583 90.00 90.00 90.00
Fractional positions:
Rb 0.000 0.000 0.000
Rb 0.000 0.500 0.500
Rb 0.500 0.000 0.500
Rb 0.500 0.500 0.000
Ti 0.000 0.000 0.500
Ti 0.000 0.500 0.000
Ti 0.500 0.000 0.000
Ti 0.500 0.500 0.500
Ru 0.250 0.250 0.250
Ru 0.250 0.250 0.750
Ru 0.250 0.750 0.250
Ru 0.250 0.750 0.750
Ru 0.750 0.250 0.250
Ru 0.750 0.250 0.750
Ru 0.750 0.750 0.250
Ru 0.750 0.750 0.750

---

[7]
Density functional theory data (PBE) for crystalline RbTi2Ru at its relaxed geometry.

## Properties
Energy in Ry/atom: -0.40288
Crystal system: cubic
Offset from the most stable computed form in meV per atom: 0
Magnetic moment in μB per cell: 0.00
ΔE_f in meV/atom: 1027
N(E_F) in states/eV/cell: 25.1

Lattice parameters (Å, degrees): 6.707 6.707 6.707 90.00 90.00 90.00
Fractional positions:
Rb 0.000 0.000 0.000
Rb 0.000 0.500 0.500
Rb 0.500 0.000 0.500
Rb 0.500 0.500 0.000
Ti 0.250 0.250 0.250
Ti 0.250 0.250 0.750
Ti 0.250 0.750 0.250
Ti 0.250 0.750 0.750
Ti 0.750 0.250 0.250
Ti 0.750 0.250 0.750
Ti 0.750 0.750 0.250
Ti 0.750 0.750 0.750
Ru 0.000 0.000 0.500
Ru 0.000 0.500 0.000
Ru 0.500 0.000 0.000
Ru 0.500 0.500 0.500

---

[8]
Density functional theory data (PBE) for crystalline RbTi3Ru at its relaxed geometry.

## Properties
Energy in Ry/atom: -0.33465
Crystal system: cubic
Magnetic moment in μB per cell: 0.00
ΔE_f in meV/atom: 2232
N(E_F) in states/eV/cell: 8.0

Lattice parameters (Å, degrees): 4.587 4.587 4.587 90.00 90.00 90.00
Fractional positions:
Rb 0.000 0.000 0.000
Ti 0.000 0.000 0.500
Ti 0.000 0.500 0.000
Ti 0.500 0.000 0.000
Ru 0.500 0.500 0.500

---

[9]
Density functional theory data (PBE) for crystalline RbTi2Ru at its relaxed geometry.

## Properties
Energy in Ry/atom: -0.40200
Crystal system: tetragonal
Offset from the most stable computed form in meV per atom: 12
Magnetic moment in μB per cell: 8.68
ΔE_f in meV/atom: 1039
N(E_F) in states/eV/cell: 24.6

Lattice parameters (Å, degrees): 6.451 6.451 13.546 90.00 90.00 90.00
Fractional positions:
Rb 0.000 0.250 0.375
Rb 0.000 0.750 0.625
Rb 0.500 0.250 0.125
Rb 0.500 0.750 0.875
Ti 0.000 0.000 0.000
Ti 0.000 0.500 0.000
Ti 0.250 0.250 0.750
Ti 0.250 0.750 0.250
Ti 0.500 0.000 0.500
Ti 0.500 0.500 0.500
Ti 0.750 0.250 0.750
Ti 0.750 0.750 0.250
Ru 0.000 0.250 0.875
Ru 0.000 0.750 0.125
Ru 0.500 0.250 0.625
Ru 0.500 0.750 0.375

---

[10]
Density functional theory data (PBE) for crystalline Rb3TiRu at its relaxed geometry.

## Properties
Energy in Ry/atom: -0.17075
Crystal system: cubic
Offset from the most stable computed form in meV per atom: 0
Magnetic moment in μB per cell: 2.83
ΔE_f in meV/atom: 1692
N(E_F) in states/eV/cell: 10.5

Lattice parameters (Å, degrees): 6.164 6.164 6.164 90.00 90.00 90.00
Fractional positions:
Rb 0.000 0.000 0.500
Rb 0.000 0.500 0.000
Rb 0.500 0.000 0.000
Ti 0.500 0.500 0.500
Ru 0.000 0.000 0.000

---

[11]
Density functional theory data (PBE) for crystalline RbTiRu2 at its relaxed geometry.

## Properties
Energy in Ry/atom: -0.42259
Crystal system: tetragonal
Offset from the most stable computed form in meV per atom: 0
Magnetic moment in μB per cell: 2.46
ΔE_f in meV/atom: 1104
N(E_F) in states/eV/cell: 18.0

Lattice parameters (Å, degrees): 5.151 5.151 16.343 90.00 90.00 90.00
Fractional positions:
Rb 0.000 0.250 0.375
Rb 0.000 0.750 0.625
Rb 0.500 0.250 0.125
Rb 0.500 0.750 0.875
Ti 0.000 0.250 0.875
Ti 0.000 0.750 0.125
Ti 0.500 0.250 0.625
Ti 0.500 0.750 0.375
Ru 0.000 0.000 0.000
Ru 0.000 0.500 0.000
Ru 0.250 0.250 0.750
Ru 0.250 0.750 0.250
Ru 0.500 0.000 0.500
Ru 0.500 0.500 0.500
Ru 0.750 0.250 0.750
Ru 0.750 0.750 0.250

---

[12]
Density functional theory data (PBE) for crystalline Rb2TiVRu at its relaxed geometry.

## Properties
Energy in Ry/atom: -0.28606
Crystal system: tetragonal
Magnetic moment in μB per cell: 0.89
ΔE_f in meV/atom: 1753
N(E_F) in states/eV/cell: 8.8

Lattice parameters (Å, degrees): 6.712 6.712 4.418 90.00 90.00 90.00
Fractional positions:
Rb 0.000 0.500 0.000
Rb 0.500 0.000 0.000
Ti 0.000 0.000 0.500
V 0.500 0.500 0.500
Ru 0.000 0.000 0.000

---

[13]
Density functional theory data (PBE) for crystalline Rb2TlRu at its relaxed geometry.

## Properties
Energy in Ry/atom: -0.16820
Crystal system: cubic
Offset from the most stable computed form in meV per atom: 375
Magnetic moment in μB per cell: 6.49
ΔE_f in meV/atom: 1106
N(E_F) in states/eV/cell: 29.5

Lattice parameters (Å, degrees): 8.430 8.430 8.430 90.00 90.00 90.00
Fractional positions:
Rb 0.250 0.250 0.250
Rb 0.250 0.250 0.750
Rb 0.250 0.750 0.250
Rb 0.250 0.750 0.750
Rb 0.750 0.250 0.250
Rb 0.750 0.250 0.750
Rb 0.750 0.750 0.250
Rb 0.750 0.750 0.750
Tl 0.000 0.000 0.000
Tl 0.000 0.500 0.500
Tl 0.500 0.000 0.500
Tl 0.500 0.500 0.000
Ru 0.000 0.000 0.500
Ru 0.000 0.500 0.000
Ru 0.500 0.000 0.000
Ru 0.500 0.500 0.500

---

[14]
Density functional theory data (PBE) for crystalline RbTlRu2 at its relaxed geometry.

## Properties
Energy in Ry/atom: -0.32428
Crystal system: tetragonal
Offset from the most stable computed form in meV per atom: 0
Magnetic moment in μB per cell: 1.28
ΔE_f in meV/atom: 1059
N(E_F) in states/eV/cell: 20.8

Lattice parameters (Å, degrees): 4.833 4.833 19.810 90.00 90.00 90.00
Fractional positions:
Rb 0.000 0.000 0.000
Rb 0.000 0.500 0.250
Rb 0.500 0.000 0.750
Rb 0.500 0.500 0.500
Tl 0.000 0.000 0.500
Tl 0.000 0.500 0.750
Tl 0.500 0.000 0.250
Tl 0.500 0.500 0.000
Ru 0.002 0.250 0.625
Ru 0.250 0.502 0.875
Ru 0.250 0.998 0.375
Ru 0.498 0.250 0.125
Ru 0.502 0.750 0.125
Ru 0.750 0.002 0.375
Ru 0.750 0.498 0.875
Ru 0.998 0.750 0.625